! CeEuGd2 (PBE-GGA, relaxed); values from VASP
! SG: No. 225
! density: 7.4 Mg/m³
! energy above the lowest structure with this stoichiometry: 54.3 meV per atom
! size of the total moment: 2.39 μB/atom
! raw total energy: -10.89 eV per atom
! DFT formation energy: 0.21 eV per atom
&SYSTEM
  ibrav = 0, nat = 4, ntyp = 3
/
ATOMIC_SPECIES
Eu 151.96 Eu.upf
Gd 157.25 Gd.upf
Ce 140.12 Ce.upf
CELL_PARAMETERS angstrom
-0.4439 -0.6221 -5.7178
-4.7639 -2.3118 -2.2885
-3.6636 3.3079 -2.9854
ATOMIC_POSITIONS angstrom
Eu 0.0000 0.0000 0.0000
Gd -2.2179 0.0935 -2.7479
Gd -6.6536 0.2805 -8.2438
Ce -4.4357 0.1870 -5.4959